No. 1
# TaBAsO PBE optimized geometry
data_TaBAsO
_space_group_name_H-M_alt 'P 4/n m m'
_space_group_IT_number 129
_cell_length_a 3.294
_cell_length_b 3.294
_cell_length_c 9.468
_cell_angle_alpha 90.00
_cell_angle_beta 90.00
_cell_angle_gamma 90.00
loop_
_space_group_symop_operation_xyz
'x,y,z'
'-x,-y,-z'
'-y+1/2,x,z'
'y+1/2,-x,-z'
'-x+1/2,-y+1/2,z'
'x+1/2,y+1/2,-z'
'y,-x+1/2,z'
'-y,x+1/2,-z'
'x+1/2,-y,-z'
'-x+1/2,y,z'
'-y,-x,-z'
'y,x,z'
'-x,y+1/2,-z'
'x,-y+1/2,z'
'y+1/2,x+1/2,-z'
'-y+1/2,-x+1/2,z'
loop_
_atom_site_label
_atom_site_fract_x
_atom_site_fract_y
_atom_site_fract_z
_atom_site_occupancy
Ta1 0.250 0.250 0.142 1
B1 0.250 0.750 0.500 1
As1 0.250 0.250 0.709 1
O1 0.250 0.750 0.000 1
# DFT total energy: -57.7 eV for the cell shown
# Relative energy among the computed polymorphs: 337 meV/atom
# Spin magnetization: 0.02 μB/f.u.

---

No. 2
# TaBAsO PBE optimized geometry
data_TaBAsO
_space_group_name_H-M_alt 'P 4/n m m'
_space_group_IT_number 129
_cell_length_a 3.608
_cell_length_b 3.608
_cell_length_c 8.957
_cell_angle_alpha 90.00
_cell_angle_beta 90.00
_cell_angle_gamma 90.00
loop_
_space_group_symop_operation_xyz
'x,y,z'
'-x,-y,-z'
'-y+1/2,x,z'
'y+1/2,-x,-z'
'-x+1/2,-y+1/2,z'
'x+1/2,y+1/2,-z'
'y,-x+1/2,z'
'-y,x+1/2,-z'
'x+1/2,-y,-z'
'-x+1/2,y,z'
'-y,-x,-z'
'y,x,z'
'-x,y+1/2,-z'
'x,-y+1/2,z'
'y+1/2,x+1/2,-z'
'-y+1/2,-x+1/2,z'
loop_
_atom_site_label
_atom_site_fract_x
_atom_site_fract_y
_atom_site_fract_z
_atom_site_occupancy
Ta1 0.250 0.750 0.000 1
B1 0.250 0.250 0.440 1
As1 0.250 0.250 0.214 1
O1 0.250 0.750 0.500 1
# DFT total energy: -55.9 eV for the cell shown
# Relative energy among the computed polymorphs: 564 meV/atom
# Spin magnetization: 0.00 μB/f.u.